Entry from the Alexandria database: an optimized crystal structure of LiY3Zn2 (PBE).

Cell lengths 5.104, 5.104, 12.482 Å; angles 90.00, 90.00, 120.00 degrees
Sites, in units of the cell vectors:
Li  0.333  0.667  0.671
Li  0.667  0.333  0.329
Y  0.333  0.667  0.417
Y  0.667  0.333  0.078
Y  0.000  0.000  0.755
Y  0.000  0.000  0.245
Y  0.333  0.667  0.922
Y  0.667  0.333  0.583
Zn  0.000  0.000  0.500
Zn  0.333  0.667  0.173
Zn  0.667  0.333  0.827
Zn  0.000  0.000  0.000

Properties
E_tot	-4.196	eV/atom
density	4.8	g cm⁻³
energy above the most stable polymorph in this dataset	0	meV/atom
total moment	0.0	μB/cell
DFT formation energy	-0.2208	eV per atom